A plane-wave DFT calculation with GGA+U was carried out for an optimized crystal structure of Rb2BaNiF6.

The structure belongs to space group Pmmn (No. 59, origin choice 2); the cell edges are 6.2258, 9.1016 and 6.8164 Å and the angles 90.00°, 90.00° and 90.00°. The distinct sites, in fractional coordinates, are Rb at (0.2500, 0.0247, 0.1992), Ba at (0.2500, 0.2500, 0.7062), Ni at (0.2500, 0.7500, 0.7853), F at (0.0127, 0.7500, 0.5800), F at (0.0220, 0.7500, 0.0048) and F at (0.2500, 0.5247, 0.7863).

As for the energy: -4.64 eV per atom.